Entry 1:
A plane-wave DFT calculation with GGA-PBE was carried out for a geometry-optimized HfBiNO structure.

a = 3.397 Å, b = 6.745 Å, c = 6.988 Å
α = 90.00°, β = 90.00°, γ = 90.00°
Sites, in units of the cell vectors:
Bi  0.500  0.991  0.240
Bi  0.500  0.491  0.760
Hf  0.000  0.503  0.366
Hf  0.000  0.003  0.634
N  0.000  0.810  0.401
N  0.000  0.310  0.599
O  0.500  0.450  0.228
O  0.500  0.950  0.772

Properties
Magnetic moment ... 0.0 μB per cell
Relative energy among the computed polymorphs ... 191 meV/atom
DFT total energy ... -0.296 Ha/atom
Volume ... 20.01 Å³ per atom



Entry 2:
A plane-wave DFT calculation with GGA-PBE was carried out for a geometry-optimized Ta structure.

a = 5.204 Å, b = 5.204 Å, c = 3.340 Å
α = 90.00°, β = 90.00°, γ = 125.68°
Sites, in units of the cell vectors:
Ta  0.862  0.138  0.000
Ta  0.138  0.862  0.000
Ta  0.638  0.362  0.500
Ta  0.362  0.638  0.500

Properties
Magnetic moment ... 0.0 μB per cell
Relative energy among the computed polymorphs ... 529 meV/atom
DFT total energy ... -0.416 Ha/atom
Formation energy ... 0.53 eV/atom
Volume ... 18.37 Å³ per atom